First-principles (GGA-PBE) data for a geometry-optimized Cs2SrTl12In3 structure, as listed in Alexandria via LeMat-Bulk.

Structure (CIF):
```
data_Cs2SrTl12In3
_chemical_formula_sum 'Cs6 Sr3 Tl36 In9'
_cell_length_a 11.7592
_cell_length_b 11.7592
_cell_length_c 16.0721
_cell_angle_alpha 90.00
_cell_angle_beta 90.00
_cell_angle_gamma 120.00
_space_group_name_H-M_alt 'R -3 m'
_space_group_IT_number 166
_space_group_name_Hall '-R 3 2"'
loop_
_atom_site_label
_atom_site_type_symbol
_atom_site_fract_x
_atom_site_fract_y
_atom_site_fract_z
Cs1 Cs 0.0000 0.0000 0.2159
Sr1 Sr 0.0000 0.0000 0.5000
Tl1 Tl 0.0048 0.5024 0.2020
Tl2 Tl 0.0305 0.5152 0.6032
In1 In 0.0000 0.5000 0.0000
```

## Properties
Crystal system: trigonal
Electronic total energy, eV/atom: -2.19
ΔH_f (0 K), kJ/mol of formula units: 53